1.
## CsNd2PuO8 (PBE-GGA)

Data for a relaxed CsNd2PuO8 crystal.

Calculated values
Its space group is P-1. For the volume, the calculation gives 210.7 Å³/cell. For the uncorrected energy, the calculation gives -7.82 eV/atom.

a = 5.065 Å, b = 5.086 Å, c = 8.203 Å
α = 92.99°, β = 93.08°, γ = 91.15°
Fractional coordinates of all 12 atoms:
Cs: 0.000 0.000 0.000
Nd: 0.465 0.465 0.715
Nd: 0.535 0.535 0.285
Pu: 0.000 0.000 0.500
O: 0.133 0.761 0.323
O: 0.237 0.864 0.677
O: 0.288 0.285 0.465
O: 0.394 0.394 0.998
O: 0.606 0.606 0.002
O: 0.712 0.715 0.535
O: 0.763 0.136 0.323
O: 0.867 0.239 0.677


2.
## Cs4NdPu3O12 (PBE-GGA)

Data for a relaxed Cs4NdPu3O12 crystal.

Calculated values
Its space group is Im-3m. For the volume, the calculation gives 346.5 Å³/cell. The density of states at the Fermi level is 0.463 states/eV/atom. For the uncorrected energy, the calculation gives -8.00 eV/atom.

a = 7.663 Å, b = 7.663 Å, c = 7.663 Å
α = 109.47°, β = 109.47°, γ = 109.47°
Fractional coordinates of all 20 atoms:
Cs: 0.000 0.000 0.500
Cs: 0.000 0.500 0.000
Cs: 0.500 0.000 0.000
Cs: 0.500 0.500 0.500
Nd: 0.000 0.000 0.000
Pu: 0.000 0.500 0.500
Pu: 0.500 0.000 0.500
Pu: 0.500 0.500 0.000
O: 0.000 0.273 0.273
O: 0.000 0.727 0.727
O: 0.250 0.500 0.750
O: 0.250 0.750 0.500
O: 0.273 0.000 0.273
O: 0.273 0.273 0.000
O: 0.500 0.250 0.750
O: 0.500 0.750 0.250
O: 0.727 0.000 0.727
O: 0.727 0.727 0.000
O: 0.750 0.250 0.500
O: 0.750 0.500 0.250